VASP calculation (PBE) on crystalline K2ScS at its relaxed geometry.

The space group is I-42d (No. 122) and the conventional cell measures 12.278, 12.278 and 4.880 Å, with angles of 90.00, 90.00 and 90.00 degrees. The inequivalent atoms are K at (0.095, 0.250, 0.125), Sc at (0.000, 0.000, 0.500) and S at (0.000, 0.000, 0.000).

The uncorrected formation energy comes out at -0.44 eV per atom. As for the electronic total energy: -57.624 eV for the cell shown. Its total magnetization is 0.66 μB/f.u. Its calculated volume is 45.984 Å³ per atom.